1.
Crystalline RbTaGeSe5 at its relaxed geometry, computed with PBE.

Values from the calculation:
Space group: P-1
Total DFT energy (no corrections) in eV/atom: -5.07

a = 7.3324 Å, b = 7.5152 Å, c = 9.6614 Å
α = 69.89°, β = 78.45°, γ = 75.80°
Closest atoms and distances in Å follow each position.
Atoms (fractional coordinates):
Ge (0.9777, 0.7063, 0.3782)  4 Se 2.37-2.44
Ge (0.0223, 0.2937, 0.6218)  4 Se 2.37-2.44
Rb (0.5931, 0.3619, 0.3114)  9 Se 3.60-4.02
Rb (0.4069, 0.6381, 0.6886)  9 Se 3.60-4.02
Se (0.0694, 0.7469, 0.0096)  2 Ta 2.48-2.68
Se (0.4389, 0.2346, 0.0311)  2 Ta 2.49-2.72
Se (0.6833, 0.8776, 0.2919)  1 Ge 2.37
Se (0.2228, 0.8878, 0.2939)  1 Ge 2.37, 1 Ta 2.63
Se (0.0712, 0.3861, 0.3509)  2 Ge 2.43-2.44
Se (0.9288, 0.6139, 0.6491)  2 Ge 2.43-2.44
Se (0.7772, 0.1122, 0.7061)  1 Ge 2.37, 1 Ta 2.63
Se (0.3167, 0.1224, 0.7081)  1 Ge 2.37
Se (0.5611, 0.7654, 0.9689)  2 Ta 2.49-2.72
Se (0.9306, 0.2531, 0.9904)  2 Ta 2.48-2.68
Ta (0.2403, 0.0269, 0.0030)  6 Se 2.48-2.72
Ta (0.7597, 0.9731, 0.9970)  6 Se 2.48-2.72

=====

2.
Crystalline ZrTcB4 at its relaxed geometry, computed with PBE.

Values from the calculation:
Space group: Immm
Excess energy over the best structure of this formula in the dataset in meV/atom: 106

a = 4.5915 Å, b = 4.5915 Å, c = 4.5915 Å
α = 140.22°, β = 108.97°, γ = 84.63°
Closest atoms and distances in Å follow each position.
Atoms (fractional coordinates):
B (0.5820, 0.2495, 0.3326)  3 B 1.79
B (0.0831, 0.7505, 0.3326)  3 B 1.79
B (0.9169, 0.2495, 0.6674)  3 B 1.79
B (0.4180, 0.7505, 0.6674)  3 B 1.79
Tc (0.0000, 0.0000, 0.0000)  12 B 2.45-2.48
Zr (0.5000, 0.5000, 0.0000)  12 B 2.46-2.47

=====

3.
Crystalline HoNbPO at its relaxed geometry, computed with PBE.

Values from the calculation:
Space group: Pmc2_1
Excess energy over the best structure of this formula in the dataset in meV/atom: 516

a = 3.8190 Å, b = 7.0997 Å, c = 5.6176 Å
α = 90.00°, β = 90.00°, γ = 90.00°
Closest atoms and distances in Å follow each position.
Atoms (fractional coordinates):
Ho (0.0000, 0.7121, 0.4688)  2 O 2.17
Ho (0.0000, 0.2879, 0.9688)  2 O 2.17
Nb (0.5000, 0.0988, 0.4805)  2 O 2.12-2.14
Nb (0.5000, 0.9012, 0.9805)  2 O 2.12-2.14
O (0.5000, 0.8198, 0.3478)  2 Nb 2.12-2.14, 2 Ho 2.17
O (0.5000, 0.1802, 0.8478)  2 Nb 2.12-2.14, 2 Ho 2.17
P (0.0000, 0.3246, 0.4570)  2 Nb 2.50, 2 Ho 2.75-2.76
P (0.0000, 0.6754, 0.9570)  2 Nb 2.50, 2 Ho 2.75-2.76

=====

4.
Crystalline HoI3 at its relaxed geometry, computed with PBE.

Values from the calculation:
Space group: P4_2/mnm
Total DFT energy (no corrections) in eV/atom: -3.64

a = 7.2421 Å, b = 7.2421 Å, c = 13.1069 Å
α = 90.00°, β = 90.00°, γ = 90.00°
Closest atoms and distances in Å follow each position.
Atoms (fractional coordinates):
Ho (0.0000, 0.0000, 0.1688)  6 I 3.02-3.04
Ho (0.5000, 0.5000, 0.3312)  6 I 3.02-3.04
Ho (0.5000, 0.5000, 0.6688)  6 I 3.02-3.04
Ho (0.0000, 0.0000, 0.8312)  6 I 3.02-3.04
I (0.2002, 0.2002, 0.0000)  2 Ho 3.02
I (0.7998, 0.7998, 0.0000)  2 Ho 3.02
I (0.7034, 0.2966, 0.1646)  2 Ho 3.02-3.04
I (0.2966, 0.7034, 0.1646)  2 Ho 3.02-3.04
I (0.2034, 0.2034, 0.3354)  2 Ho 3.02-3.04
I (0.7966, 0.7966, 0.3354)  2 Ho 3.02-3.04
I (0.7002, 0.2998, 0.5000)  2 Ho 3.02
I (0.2998, 0.7002, 0.5000)  2 Ho 3.02
I (0.2034, 0.2034, 0.6646)  2 Ho 3.02-3.04
I (0.7966, 0.7966, 0.6646)  2 Ho 3.02-3.04
I (0.7034, 0.2966, 0.8354)  2 Ho 3.02-3.04
I (0.2966, 0.7034, 0.8354)  2 Ho 3.02-3.04

=====

5.
Crystalline HfInFeAu at its relaxed geometry, computed with PBE.

Values from the calculation:
Space group: F-43m
Excess energy over the best structure of this formula in the dataset in meV/atom: 149

a = 4.6949 Å, b = 4.6949 Å, c = 4.6949 Å
α = 59.96°, β = 59.96°, γ = 59.96°
Closest atoms and distances in Å follow each position.
Atoms (fractional coordinates):
Au (0.5000, 0.5000, 0.5000)  4 Fe 2.87-2.88, 4 Hf 2.87-2.88
Fe (0.7500, 0.7500, 0.7500)  4 In 2.87-2.88, 4 Au 2.87-2.88
Hf (0.2500, 0.2500, 0.2500)  4 In 2.87-2.88, 4 Au 2.87-2.88
In (0.0000, 0.0000, 0.0000)  4 Hf 2.87-2.88, 4 Fe 2.87-2.88

=====

6.
Crystalline Tm3Lu3FeBi2 at its relaxed geometry, computed with PBE.

Values from the calculation:
Space group: P-62m
Excess energy over the best structure of this formula in the dataset in meV/atom: 0

a = 8.1641 Å, b = 8.1641 Å, c = 4.1146 Å
α = 90.00°, β = 90.00°, γ = 120.00°
Closest atoms and distances in Å follow each position.
Atoms (fractional coordinates):
Bi (0.6667, 0.3333, 0.5000)  3 Lu 3.23, 6 Tm 3.26
Bi (0.3333, 0.6667, 0.5000)  3 Lu 3.23, 6 Tm 3.26
Fe (0.0000, 0.0000, 0.0000)  6 Lu 2.78
Lu (0.7706, 0.0000, 0.5000)  2 Fe 2.78
Lu (0.2294, 0.2294, 0.5000)  2 Fe 2.78
Lu (0.0000, 0.7706, 0.5000)  2 Fe 2.78
Tm (0.3857, 0.0000, 0.0000)  1 Fe 3.15, 4 Bi 3.26, 4 Lu 3.43
Tm (0.0000, 0.3857, 0.0000)  1 Fe 3.15, 4 Bi 3.26, 4 Lu 3.43
Tm (0.6143, 0.6143, 0.0000)  1 Fe 3.15, 4 Bi 3.26, 4 Lu 3.43

=====

7.
Crystalline Y2TmIn3AgIr2 at its relaxed geometry, computed with PBE.

Values from the calculation:
Space group: Amm2
Total DFT energy (no corrections) in eV/atom: -5.74

a = 3.8166 Å, b = 7.6972 Å, c = 7.6972 Å
α = 119.51°, β = 90.00°, γ = 90.00°
Closest atoms and distances in Å follow each position.
Atoms (fractional coordinates):
Ag (0.0000, 0.9987, 0.9987)  6 In 2.81-2.83
In (0.5000, 0.2686, 0.2686)  2 Ir 2.83, 2 Ag 2.83, 2 Tm 3.12
In (0.5000, 0.9998, 0.7304)  2 Ag 2.81, 2 Ir 2.84-2.88, 2 Y 3.11
In (0.5000, 0.7304, 0.9998)  2 Ag 2.81, 2 Ir 2.84-2.88, 2 Y 3.11
Ir (0.5000, 0.6657, 0.3382)  3 In 2.83-2.88, 2 Tm 2.97, 4 Y 3.02-3.04
Ir (0.5000, 0.3382, 0.6657)  3 In 2.83-2.88, 2 Tm 2.97, 4 Y 3.02-3.04
Tm (0.0000, 0.5874, 0.5874)  4 Ir 2.97, 2 In 3.12, 1 Ag 3.19
Y (0.0000, 0.4113, 0.0000)  4 Ir 3.02-3.04, 4 In 3.11-3.37, 1 Ag 3.17
Y (0.0000, 0.0000, 0.4113)  4 Ir 3.02-3.04, 4 In 3.11-3.37, 1 Ag 3.17

=====

8.
Crystalline AcLa at its relaxed geometry, computed with PBE.

Values from the calculation:
Space group: F-43m
Formation enthalpy at 0 K in eV/f.u.: 2.9
Excess energy over the best structure of this formula in the dataset in meV/atom: 1427

a = 5.0358 Å, b = 5.0358 Å, c = 5.0358 Å
α = 60.00°, β = 60.00°, γ = 60.00°
Closest atoms and distances in Å follow each position.
Atoms (fractional coordinates):
Ac (0.0000, 0.0000, 0.0000)  4 La 3.08
La (0.2500, 0.2500, 0.2500)  4 Ac 3.08